Arrangement P

A plane-wave DFT calculation with PBE was carried out for a relaxed structure of TmAl10Re2.

Cell: 9.3043 10.3183 26.9149 Å, 90.00 90.00 90.00°
Space group Cmcm (No. 63)
One atom of each set of equivalent atoms:
Tm 0.0000 0.1179 0.2500 (multiplicity 4)
Tm 0.0000 0.3753 0.0848 (multiplicity 8)
Al 0.0000 0.0972 0.1335 (multiplicity 8)
Al 0.0000 0.1221 0.0221 (multiplicity 8)
Al 0.0000 0.1297 0.6781 (multiplicity 8)
Al 0.0000 0.3348 0.5341 (multiplicity 8)
Al 0.0000 0.3746 0.6455 (multiplicity 8)
Al 0.0000 0.4076 0.1997 (multiplicity 8)
Al 0.1492 0.3872 0.7500 (multiplicity 8)
Al 0.1507 0.1216 0.5808 (multiplicity 16)
Al 0.2040 0.5000 0.0000 (multiplicity 8)
Al 0.2089 0.1108 0.7500 (multiplicity 8)
Al 0.2195 0.2477 0.1713 (multiplicity 16)
Al 0.2481 0.1288 0.0831 (multiplicity 16)
Re 0.2479 0.0027 0.6631 (multiplicity 16)
Re 0.2500 0.2500 0.0000 (multiplicity 8)

---

Arrangement Q

A plane-wave DFT calculation with PBE was carried out for a relaxed structure of TmAl10Re2.

Cell: 9.1777 10.3380 9.1624 Å, 90.00 90.00 90.00°
Space group Cmcm (No. 63)
One atom of each set of equivalent atoms:
Tm 0.0000 0.1308 0.2500 (multiplicity 4)
Al 0.0000 0.1484 0.5958 (multiplicity 8)
Al 0.0000 0.3753 0.0360 (multiplicity 8)
Al 0.1601 0.3700 0.7500 (multiplicity 8)
Al 0.2234 0.3666 0.2500 (multiplicity 8)
Al 0.2256 0.0000 0.0000 (multiplicity 8)
Re 0.2500 0.2500 0.0000 (multiplicity 8)

---

Most stable to least stable, the ends of the list are arrangement P and arrangement Q.

---

Arrangement P

A plane-wave DFT calculation with PBE was carried out for a relaxed structure of TmAlRe.

Cell: 5.3451 5.4766 7.5875 Å, 90.00 90.00 90.00°
Space group Imma (No. 74)
One atom of each set of equivalent atoms:
Tm 0.0000 0.2500 0.1173 (multiplicity 4)
Al 0.0000 0.0000 0.5000 (multiplicity 4)
Re 0.2500 0.2500 0.7500 (multiplicity 4)

---

Arrangement Q

A plane-wave DFT calculation with PBE was carried out for a relaxed structure of TmAlRe.

Cell: 6.3612 4.3567 8.2608 Å, 90.00 90.00 90.00°
Space group Pnma (No. 62)
One atom of each set of equivalent atoms:
Tm 0.0612 0.2500 0.1498 (multiplicity 4)
Al 0.2451 0.7500 0.3271 (multiplicity 4)
Re 0.1101 0.2500 0.5134 (multiplicity 4)

---

Most stable to least stable, the ends of the list are arrangement P and arrangement Q.

---

Arrangement P

A plane-wave DFT calculation with PBE was carried out for a relaxed structure of U2AlRe.

Cell: 4.0942 4.0942 4.3642 Å, 90.00 90.00 90.00°
Space group P4/mmm (No. 123)
One atom of each set of equivalent atoms:
U 0.0000 0.5000 0.0000 (multiplicity 2)
Al 0.0000 0.0000 0.5000 (multiplicity 1)
Re 0.5000 0.5000 0.5000 (multiplicity 1)

---

Arrangement Q

A plane-wave DFT calculation with PBE was carried out for a relaxed structure of U2AlRe.

Cell: 2.9229 2.9229 32.0338 Å, 90.00 90.00 120.00°
Space group R-3m (No. 166, hexagonal axes)
One atom of each set of equivalent atoms:
U 0.0000 0.0000 0.0928 (multiplicity 6)
Al 0.0000 0.0000 0.0000 (multiplicity 3)
Re 0.0000 0.0000 0.5000 (multiplicity 3)

---

Most stable to least stable, the ends of the list are arrangement P and arrangement Q.

---

Arrangement P

A plane-wave DFT calculation with PBE was carried out for a relaxed structure of AlV3Re.

Cell: 4.3323 4.3323 4.3323 Å, 90.00 90.00 90.00°
Space group Pm-3m (No. 221)
One atom of each set of equivalent atoms:
Al 0.0000 0.0000 0.0000 (multiplicity 1)
V 0.0000 0.0000 0.5000 (multiplicity 3)
Re 0.5000 0.5000 0.5000 (multiplicity 1)

---

Arrangement Q

A plane-wave DFT calculation with PBE was carried out for a relaxed structure of AlV3Re.

Cell: 4.5742 4.5742 4.5742 Å, 90.00 90.00 90.00°
Space group Pm-3m (No. 221)
One atom of each set of equivalent atoms:
Al 0.0000 0.0000 0.0000 (multiplicity 1)
V 0.0000 0.5000 0.5000 (multiplicity 3)
Re 0.5000 0.5000 0.5000 (multiplicity 1)

---

Arrangement R

A plane-wave DFT calculation with PBE was carried out for a relaxed structure of AlV3Re.

Cell: 4.8080 4.6858 6.5637 Å, 90.00 104.35 90.00°
Space group P2_1/m (No. 11)
One atom of each set of equivalent atoms:
Al 0.0030 0.2500 0.1556 (multiplicity 2)
V 0.2364 0.7500 0.2601 (multiplicity 2)
V 0.4520 0.7500 0.6358 (multiplicity 2)
V 0.5000 0.0000 0.0000 (multiplicity 2)
Re 0.1729 0.2500 0.5774 (multiplicity 2)

---

Most stable to least stable, the ends of the list are arrangement R and arrangement P.

---

Arrangement P

A plane-wave DFT calculation with PBE was carried out for a relaxed structure of AlVRe.

Cell: 3.1422 3.1422 8.7073 Å, 90.00 90.00 90.00°
Space group I4mm (No. 107)
One atom of each set of equivalent atoms:
Al 0.0000 0.0000 0.0000 (multiplicity 2)
V 0.0000 0.0000 0.6786 (multiplicity 2)
Re 0.0000 0.0000 0.3235 (multiplicity 2)

---

Arrangement Q

A plane-wave DFT calculation with PBE was carried out for a relaxed structure of AlVRe.

Cell: 4.2943 4.2943 2.6718 Å, 90.00 90.00 120.00°
Space group P3m1 (No. 156)
One atom of each set of equivalent atoms:
Al 0.0000 0.0000 0.0000 (multiplicity 1)
V 0.6667 0.3333 0.6307 (multiplicity 1)
Re 0.3333 0.6667 0.3767 (multiplicity 1)

---

Most stable to least stable, the ends of the list are arrangement P and arrangement Q.

---

Arrangement P

A plane-wave DFT calculation with PBE was carried out for a relaxed structure of Al2VRe.

Cell: 6.8637 6.8637 5.3039 Å, 90.00 90.00 90.00°
Space group I-42d (No. 122)
One atom of each set of equivalent atoms:
Al 0.2491 0.2500 0.1250 (multiplicity 8)
V 0.0000 0.0000 0.5000 (multiplicity 4)
Re 0.0000 0.0000 0.0000 (multiplicity 4)

---

Arrangement Q

A plane-wave DFT calculation with PBE was carried out for a relaxed structure of Al2VRe.

Cell: 6.1430 6.1430 6.1430 Å, 90.00 90.00 90.00°
Space group Fm-3m (No. 225)
One atom of each set of equivalent atoms:
Al 0.2500 0.2500 0.2500 (multiplicity 8)
V 0.0000 0.0000 0.0000 (multiplicity 4)
Re 0.0000 0.0000 0.5000 (multiplicity 4)

---

Most stable to least stable, the ends of the list are arrangement Q and arrangement P.

---

Arrangement P

A plane-wave DFT calculation with PBE was carried out for a relaxed structure of AlV6Re.

Cell: 5.1401 9.7320 4.6358 Å, 90.00 104.79 90.00°
Space group C2 (No. 5)
One atom of each set of equivalent atoms:
Al 0.0000 0.0000 0.0000 (multiplicity 2)
V 0.0000 0.5029 0.0000 (multiplicity 2)
V 0.0000 0.8670 0.5000 (multiplicity 2)
V 0.2428 0.6242 0.4967 (multiplicity 4)
V 0.2472 0.7490 0.9949 (multiplicity 4)
Re 0.0000 0.3718 0.5000 (multiplicity 2)

---

Arrangement Q

A plane-wave DFT calculation with PBE was carried out for a relaxed structure of AlV6Re.

Cell: 4.2394 6.0582 8.5604 Å, 90.00 90.00 90.00°
Space group Amm2 (No. 38)
One atom of each set of equivalent atoms:
Al 0.0000 0.0000 0.0000 (multiplicity 2)
V 0.0000 0.0000 0.5003 (multiplicity 2)
V 0.0000 0.2478 0.7501 (multiplicity 4)
V 0.5000 0.0000 0.7557 (multiplicity 2)
V 0.5000 0.2349 0.4997 (multiplicity 4)
Re 0.5000 0.0000 0.2420 (multiplicity 2)

---

Most stable to least stable, the ends of the list are arrangement Q and arrangement P.

---

Arrangement P

A plane-wave DFT calculation with PBE was carried out for a relaxed structure of YAl2Re.

Cell: 4.1626 4.1626 19.1365 Å, 90.00 90.00 90.00°
Space group I-42d (No. 122)
One atom of each set of equivalent atoms:
Y 0.0000 0.0000 0.0000 (multiplicity 4)
Al 0.1832 0.2500 0.6250 (multiplicity 8)
Re 0.0000 0.0000 0.5000 (multiplicity 4)

---

Arrangement Q

A plane-wave DFT calculation with PBE was carried out for a relaxed structure of YAl2Re.

Cell: 4.0898 4.0898 4.3639 Å, 90.00 90.00 90.00°
Space group P4/mmm (No. 123)
One atom of each set of equivalent atoms:
Y 0.0000 0.0000 0.0000 (multiplicity 1)
Al 0.0000 0.5000 0.5000 (multiplicity 2)
Re 0.5000 0.5000 0.0000 (multiplicity 1)

---

Arrangement R

A plane-wave DFT calculation with PBE was carried out for a relaxed structure of YAl2Re.

Cell: 8.6929 3.6095 5.1970 Å, 90.00 108.41 90.00°
Space group C2/m (No. 12)
One atom of each set of equivalent atoms:
Y 0.0000 0.0000 0.0000 (multiplicity 2)
Al 0.2260 0.0000 0.6613 (multiplicity 4)
Re 0.0000 0.5000 0.5000 (multiplicity 2)

---

Arrangement S

A plane-wave DFT calculation with PBE was carried out for a relaxed structure of YAl2Re.

Cell: 3.5711 4.7729 8.7073 Å, 90.00 90.00 90.00°
Space group Immm (No. 71)
One atom of each set of equivalent atoms:
Y 0.0000 0.0000 0.0000 (multiplicity 2)
Al 0.0000 0.5000 0.2266 (multiplicity 4)
Re 0.0000 0.0000 0.5000 (multiplicity 2)

---

Most stable to least stable, the ends of the list are arrangement R and arrangement P.

---

Arrangement P

A plane-wave DFT calculation with PBE was carried out for a relaxed structure of YAl2Re.

Cell: 3.2001 3.2001 7.1905 Å, 90.00 90.00 90.00°
Space group P4/mmm (No. 123)
One atom of each set of equivalent atoms:
Y 0.0000 0.0000 0.0000 (multiplicity 1)
Al 0.5000 0.5000 0.3113 (multiplicity 2)
Re 0.0000 0.0000 0.5000 (multiplicity 1)

---

Arrangement Q

A plane-wave DFT calculation with PBE was carried out for a relaxed structure of YAl2Re.

Cell: 4.2046 4.2046 8.2692 Å, 90.00 90.00 90.00°
Space group I-4m2 (No. 119)
One atom of each set of equivalent atoms:
Y 0.0000 0.0000 0.0000 (multiplicity 2)
Al 0.0000 0.0000 0.5000 (multiplicity 2)
Al 0.0000 0.5000 0.7500 (multiplicity 2)
Re 0.0000 0.5000 0.2500 (multiplicity 2)

---

Arrangement R

A plane-wave DFT calculation with PBE was carried out for a relaxed structure of YAl2Re.

Cell: 5.7674 8.8158 2.8582 Å, 90.00 99.33 90.00°
Space group C2/m (No. 12)
One atom of each set of equivalent atoms:
Y 0.0000 0.0000 0.0000 (multiplicity 2)
Al 0.2500 0.2500 0.5000 (multiplicity 4)
Re 0.0000 0.5000 0.0000 (multiplicity 2)

---

Most stable to least stable, the ends of the list are arrangement P and arrangement R.